An optimized crystal structure of MgFe2O4, computed with GGA+U.

a = 5.7625 Å, b = 10.3337 Å, c = 5.1795 Å
α = 90.00°, β = 90.00°, γ = 90.00°
Sites, in units of the cell vectors:
Mg 0.2500 0.2500 0.0273
Mg 0.2500 0.7500 0.3293
Mg 0.7500 0.2500 0.6707
Mg 0.7500 0.7500 0.9727
Fe 0.0000 0.0000 0.5000
Fe 0.0000 0.5000 0.5000
Fe 0.2500 0.5187 0.9848
Fe 0.2500 0.9813 0.9848
Fe 0.5000 0.0000 0.5000
Fe 0.5000 0.5000 0.5000
Fe 0.7500 0.0187 0.0152
Fe 0.7500 0.4813 0.0152
O 0.0046 0.1176 0.8503
O 0.0046 0.3824 0.8503
O 0.2500 0.0952 0.3172
O 0.2500 0.4048 0.3172
O 0.2500 0.6060 0.6325
O 0.2500 0.8940 0.6325
O 0.4954 0.1176 0.8503
O 0.4954 0.3824 0.8503
O 0.5046 0.6176 0.1497
O 0.5046 0.8824 0.1497
O 0.7500 0.1060 0.3675
O 0.7500 0.3940 0.3675
O 0.7500 0.5952 0.6828
O 0.7500 0.9048 0.6828
O 0.9954 0.6176 0.1497
O 0.9954 0.8824 0.1497

Properties
For the volume, the calculation gives 11.015 A^3/atom. The value obtained for the distance to the lowest polymorph of the same formula is 151 meV per atom.